Entry 1:
A plane-wave DFT calculation with PBE was carried out for a geometry-optimized OsWCl2 structure.

Calculated values
space group = Pmmm (47)
distance to the lowest polymorph of the same formula = 1.182 eV/atom
energy relative to the elements, uncorrected = 1.06 eV/atom

Geometry as extended XYZ:
```
4
Lattice="2.8081 0.0000 0.0000 0.0000 4.3758 0.0000 0.0000 0.0000 5.2133" Properties=species:S:1:pos:R:3 pbc="T T T"
Os 0.0000 0.0000 0.0000
W 1.4040 0.0000 2.6067
Cl 0.0000 2.1879 2.6067
Cl 1.4040 2.1879 0.0000
```

Entry 2:
A plane-wave DFT calculation with PBE was carried out for a geometry-optimized BaTa2Br structure.

Calculated values
space group = P4mm (99)
distance to the lowest polymorph of the same formula = 0.092 eV/atom
energy relative to the elements, uncorrected = 0.22 eV/atom

Geometry as extended XYZ:
```
4
Lattice="3.5655 0.0000 0.0000 0.0000 3.5655 0.0000 0.0000 0.0000 8.6793" Properties=species:S:1:pos:R:3 pbc="T T T"
Ba 0.0000 0.0000 0.0000
Ta 0.0000 0.0000 4.9393
Ta 1.7828 1.7828 6.0067
Br 1.7828 1.7828 2.2031
```

Entry 3:
A plane-wave DFT calculation with PBE was carried out for a geometry-optimized KMnCl2 structure.

Calculated values
space group = I-42d (122)
distance to the lowest polymorph of the same formula = 0.094 eV/atom
energy relative to the elements, uncorrected = -0.89 eV/atom

Geometry as extended XYZ:
```
8
Lattice="-3.0980 3.0980 6.5948 3.0980 -3.0980 6.5948 3.0980 3.0980 -6.5948" Properties=species:S:1:pos:R:3 pbc="T T T"
K 0.0000 0.0000 0.0000
K 0.0000 3.0980 3.2974
Mn 3.0980 0.0000 3.2974
Mn 0.0000 0.0000 6.5948
Cl 1.5490 -0.9538 4.9461
Cl 2.1443 1.5490 1.6487
Cl 1.5490 4.0518 -1.6487
Cl 0.9538 1.5490 8.2434
```

Entry 4:
A plane-wave DFT calculation with PBE was carried out for a geometry-optimized Hf12Zn3Ir5 structure.

Calculated values
space group = Ia-3d (230)
ΔH_f (0 K) = 0.146 eV/atom

Geometry as extended XYZ:
```
80
Lattice="-7.8364 7.8364 7.8364 7.8364 -7.8364 7.8364 7.8364 7.8364 -7.8364" Properties=species:S:1:pos:R:3 pbc="T T T"
Hf 2.3586 -0.2855 1.0696
Hf 9.3960 4.9878 -4.2037
Hf 7.5509 -1.0696 2.3586
Hf 12.0400 -1.5596 2.8485
Hf 10.1949 0.2855 1.0696
Hf 9.3960 -2.8485 4.2037
Hf 1.0696 2.3586 -0.2855
Hf 10.6849 3.6327 -1.5596
Hf 4.9878 4.2037 -1.5596
Hf 6.7667 2.3586 0.2855
Hf -0.2855 1.0696 2.3586
Hf 4.2037 -1.5596 4.9878
Hf 7.5509 6.7667 -2.3586
Hf 4.2037 1.5596 2.8485
Hf 6.7667 -2.3586 7.5509
Hf 4.9878 -4.2037 9.3960
Hf 2.8485 4.2037 1.5596
Hf 8.9060 5.4778 0.2855
Hf 2.3586 7.5509 -1.0696
Hf 9.3960 2.8485 3.6327
Hf 4.2037 9.3960 -2.8485
Hf 7.5509 1.0696 5.4778
Hf 1.5596 2.8485 4.2037
Hf 2.3586 0.2855 6.7667
Hf 5.4778 7.5509 1.0696
Hf 6.2767 4.9878 3.6327
Hf 0.2855 6.7667 2.3586
Hf 3.6327 -1.5596 10.6849
Hf -1.5596 4.9878 4.2037
Hf 5.4778 0.2855 8.9060
Hf -1.0696 2.3586 7.5509
Hf 4.9878 3.6327 6.2767
Hf 2.8485 12.0400 -1.5596
Hf 1.0696 10.1949 0.2855
Hf 3.6327 6.2767 4.9878
Hf 0.2855 1.0696 10.1949
Hf 3.6327 9.3960 2.8485
Hf 8.1218 6.7667 5.4778
Hf 1.0696 5.4778 7.5509
Hf 2.8485 3.6327 9.3960
Hf -2.8485 4.2037 9.3960
Hf 6.7667 5.4778 8.1218
Hf -1.5596 10.6849 3.6327
Hf -2.3586 7.5509 6.7667
Hf -4.2037 9.3960 4.9878
Hf 0.2855 8.9060 5.4778
Hf -1.5596 2.8485 12.0400
Hf 5.4778 8.1218 6.7667
Zn 3.9182 1.9591 0.0000
Zn 7.8364 3.9182 -1.9591
Zn 1.9591 0.0000 3.9182
Zn 9.7955 0.0000 3.9182
Zn 0.0000 3.9182 1.9591
Zn 3.9182 -1.9591 7.8364
Zn 3.9182 9.7955 0.0000
Zn 7.8364 3.9182 5.8773
Zn -1.9591 7.8364 3.9182
Zn 5.8773 7.8364 3.9182
Zn 0.0000 3.9182 9.7955
Zn 3.9182 5.8773 7.8364
Ir 0.0000 0.0000 0.0000
Ir 3.9182 3.9182 -3.9182
Ir 3.9182 -3.9182 3.9182
Ir 7.8364 0.0000 0.0000
Ir 11.7546 1.9591 0.0000
Ir 7.8364 -3.9182 5.8773
Ir 5.8773 7.8364 -3.9182
Ir 5.8773 0.0000 3.9182
Ir 3.9182 5.8773 0.0000
Ir 7.8364 3.9182 1.9591
Ir -3.9182 3.9182 3.9182
Ir 0.0000 7.8364 0.0000
Ir 0.0000 0.0000 7.8364
Ir 3.9182 3.9182 3.9182
Ir 0.0000 3.9182 5.8773
Ir 3.9182 1.9591 7.8364
Ir 1.9591 7.8364 3.9182
Ir 1.9591 0.0000 11.7546
Ir 0.0000 11.7546 1.9591
Ir -3.9182 5.8773 7.8364
```

Entry 5:
A plane-wave DFT calculation with PBE was carried out for a geometry-optimized Sc2Re2Pd structure.

Calculated values
space group = P4/mbm (127)
ΔH_f (0 K) = 0.489 eV/atom
distance to the lowest polymorph of the same formula = 0.523 eV/atom

Geometry as extended XYZ:
```
10
Lattice="6.6682 0.0000 0.0000 0.0000 6.6682 0.0000 0.0000 0.0000 3.9401" Properties=species:S:1:pos:R:3 pbc="T T T"
Sc 0.9566 2.3775 0.0000
Sc 2.3775 5.7116 0.0000
Sc 4.2907 0.9566 0.0000
Sc 5.7116 4.2907 0.0000
Re 1.0826 4.4166 1.9700
Re 2.2515 1.0826 1.9700
Re 4.4166 5.5856 1.9700
Re 5.5856 2.2515 1.9700
Pd 0.0000 0.0000 0.0000
Pd 3.3341 3.3341 0.0000
```

Entry 6:
A plane-wave DFT calculation with PBE was carried out for a geometry-optimized Tl4Fe5 structure.

Calculated values
space group = I4/mmm (139)
ΔH_f (0 K) = 0.508 eV/atom
distance to the lowest polymorph of the same formula = 0.000 eV/atom

Geometry as extended XYZ:
```
9
Lattice="-4.6015 4.6015 2.0084 4.6015 -4.6015 2.0084 4.6015 4.6015 -2.0084" Properties=species:S:1:pos:R:3 pbc="T T T"
Tl 2.8133 0.0000 0.0000
Tl 6.3897 0.0000 0.0000
Tl 0.0000 2.8133 0.0000
Tl 0.0000 6.3897 0.0000
Fe 0.0000 0.0000 0.0000
Fe 3.4089 3.4089 0.0000
Fe 1.1926 -1.1926 2.0084
Fe -1.1926 1.1926 2.0084
Fe 1.1926 1.1926 2.0084
```

Entry 7:
A plane-wave DFT calculation with PBE was carried out for a geometry-optimized Rb3MnMo structure.

Calculated values
space group = Pm-3m (221)
ΔH_f (0 K) = 1.653 eV/atom

Geometry as extended XYZ:
```
5
Lattice="7.1479 0.0000 0.0000 0.0000 7.1479 0.0000 0.0000 0.0000 7.1479" Properties=species:S:1:pos:R:3 pbc="T T T"
Rb 0.0000 0.0000 3.5740
Rb 0.0000 3.5740 0.0000
Rb 3.5740 0.0000 0.0000
Mn 3.5740 3.5740 3.5740
Mo 0.0000 0.0000 0.0000
```

Entry 8:
A plane-wave DFT calculation with PBE was carried out for a geometry-optimized Pa3Ge2Ru structure.

Calculated values
space group = Pnma (62)
ΔH_f (0 K) = -0.499 eV/atom

Geometry as extended XYZ:
```
24
Lattice="11.9415 0.0000 0.0000 0.0000 4.0678 0.0000 0.0000 0.0000 10.9120" Properties=species:S:1:pos:R:3 pbc="T T T"
Pa 0.5603 1.0170 1.3099
Pa 1.5510 3.0509 6.1115
Pa 2.7701 1.0170 8.4968
Pa 3.2006 3.0509 3.0408
Pa 4.4197 1.0170 0.6556
Pa 5.4105 3.0509 6.7658
Pa 6.5310 1.0170 4.1461
Pa 7.5218 3.0509 10.2564
Pa 8.7409 1.0170 7.8711
Pa 9.1714 3.0509 2.4151
Pa 10.3905 1.0170 4.8004
Pa 11.3812 3.0509 9.6021
Ge 0.0538 3.0509 3.3289
Ge 2.2284 3.0509 10.8869
Ge 3.7424 1.0170 5.4309
Ge 5.9170 1.0170 8.7849
Ge 6.0245 3.0509 2.1271
Ge 8.1991 3.0509 5.4810
Ge 9.7131 1.0170 0.0250
Ge 11.8877 1.0170 7.5831
Ru 1.5173 1.0170 4.0865
Ru 4.4534 3.0509 9.5425
Ru 7.4881 1.0170 1.3695
Ru 10.4241 3.0509 6.8255
```

| no. | size of the total moment (μB per formula unit) | density (g cm⁻³) | total energy (eV for the cell shown) |
| --- | --- | --- | --- |
| 1 | 0.52 | 11.53 | -23.638 |
| 2 | 0.00 | 8.72 | -26.406 |
| 3 | 4.28 | 2.16 | -35.064 |
| 4 | 0.00 | 11.38 | -658.553 |
| 5 | 0.00 | 10.78 | -80.611 |
| 6 | 12.74 | 10.71 | -47.210 |
| 7 | 1.34 | 1.85 | -14.636 |
| 8 | 0.00 | 11.77 | -199.964 |